Record 1
The following is a PBE calculation of crystalline Rb2AsF7 at its relaxed geometry, from Alexandria.

The structure in CIF format:
```
data_Rb2AsF7
_symmetry_space_group_name_H-M 'F m -3 m'
_symmetry_Int_Tables_number 225
_symmetry_space_group_name_Hall '-F 4 2 3'
_cell_length_a 9.0249
_cell_length_b 9.0249
_cell_length_c 9.0249
_cell_angle_alpha 90.00
_cell_angle_beta 90.00
_cell_angle_gamma 90.00
loop_
_atom_site_label
_atom_site_type_symbol
_atom_site_fract_x
_atom_site_fract_y
_atom_site_fract_z
Rb1 Rb 0.2500 0.2500 0.2500
As1 As 0.0000 0.0000 0.0000
F1 F 0.0000 0.0000 0.1989
F2 F 0.0000 0.0000 0.5000
```

Properties
E_form (uncorrected) (eV per atom): -2.298
Density (g/cm3): 3.42



Record 2
The following is a PBE calculation of crystalline SbRhNF2 at its relaxed geometry, from Alexandria.

The structure in CIF format:
```
data_SbRhNF2
_symmetry_space_group_name_H-M 'P 4/m m m'
_symmetry_Int_Tables_number 123
_symmetry_space_group_name_Hall '-P 4 2'
_cell_length_a 4.5264
_cell_length_b 4.5264
_cell_length_c 3.6712
_cell_angle_alpha 90.00
_cell_angle_beta 90.00
_cell_angle_gamma 90.00
loop_
_atom_site_label
_atom_site_type_symbol
_atom_site_fract_x
_atom_site_fract_y
_atom_site_fract_z
Sb1 Sb 0.0000 0.0000 0.0000
Rh1 Rh 0.5000 0.5000 0.5000
N1 N 0.5000 0.5000 0.0000
F1 F 0.0000 0.5000 0.5000
```

Properties
Relative energy among the computed polymorphs (meV per atom): 0
E_form (uncorrected) (eV per atom): -0.191
Density (g/cm3): 6.11